Version i
Compound: Pm6PrCd
Source: Alexandria via LeMat-Bulk
Functional: GGA-PBE
Structure: optimized geometry Values from VASP.

Values from the calculation:
- Theoretical density: 6.978 g/cm³

Geometry as Quantum ESPRESSO input:
```
&SYSTEM
  ibrav = 0, nat = 8, ntyp = 3
/
ATOMIC_SPECIES
Pm 145.00 Pm.upf
Pr 140.91 Pr.upf
Cd 112.41 Cd.upf
CELL_PARAMETERS angstrom
4.365 -4.795 0.000
4.365 4.795 0.000
-1.041 0.000 6.386
ATOMIC_POSITIONS angstrom
Pm 2.654 2.971 1.799
Pm 1.165 0.000 1.282
Pm 5.035 2.971 4.587
Pm 2.654 -2.971 1.799
Pm 6.524 0.000 5.104
Pm 5.035 -2.971 4.587
Pr 4.365 0.000 0.000
Cd 3.845 0.000 3.193
```

=====

Version ii
Compound: Pm6PrCd
Source: Alexandria via LeMat-Bulk
Functional: GGA-PBE
Structure: optimized geometry Values from VASP.

Values from the calculation:
- Theoretical density: 7.131 g/cm³

Geometry as Quantum ESPRESSO input:
```
&SYSTEM
  ibrav = 0, nat = 8, ntyp = 3
/
ATOMIC_SPECIES
Pm 145.00 Pm.upf
Pr 140.91 Pr.upf
Cd 112.41 Cd.upf
CELL_PARAMETERS angstrom
-2.508 2.508 10.400
2.508 -2.508 10.400
2.508 2.508 -10.400
ATOMIC_POSITIONS angstrom
Pm 2.508 0.000 2.554
Pm 0.000 0.000 5.153
Pm 2.508 0.000 7.845
Pm 0.000 2.508 2.554
Pm 0.000 0.000 15.647
Pm 0.000 2.508 7.845
Pr 0.000 0.000 0.000
Cd 0.000 0.000 10.400
```

=====

The structure with the least stability is version i.

=====

Version i
Compound: Pm2PrCd6
Source: Alexandria via LeMat-Bulk
Functional: GGA-PBE
Structure: optimized geometry Values from VASP.

Values from the calculation:
- Theoretical density: 7.902 g/cm³

Geometry as Quantum ESPRESSO input:
```
&SYSTEM
  ibrav = 0, nat = 9, ntyp = 3
/
ATOMIC_SPECIES
Pm 145.00 Pm.upf
Pr 140.91 Pr.upf
Cd 112.41 Cd.upf
CELL_PARAMETERS angstrom
8.801 0.000 0.000
-4.400 7.622 0.000
0.000 0.000 3.463
ATOMIC_POSITIONS angstrom
Pm 0.000 5.081 0.000
Pm 4.400 2.541 0.000
Pr 0.000 0.000 0.000
Cd -1.472 2.550 1.731
Cd -2.928 5.071 1.731
Cd 2.945 0.000 1.731
Cd 1.472 2.550 1.731
Cd 5.856 0.000 1.731
Cd 2.928 5.071 1.731
```

=====

Version ii
Compound: Pm2PrCd6
Source: Alexandria via LeMat-Bulk
Functional: GGA-PBE
Structure: optimized geometry Values from VASP.

Values from the calculation:
- Theoretical density: 7.762 g/cm³

Geometry as Quantum ESPRESSO input:
```
&SYSTEM
  ibrav = 0, nat = 9, ntyp = 3
/
ATOMIC_SPECIES
Pm 145.00 Pm.upf
Pr 140.91 Pr.upf
Cd 112.41 Cd.upf
CELL_PARAMETERS angstrom
-1.723 4.420 7.763
1.723 -4.420 7.763
1.723 4.420 -7.763
ATOMIC_POSITIONS angstrom
Pm 0.000 0.000 2.344
Pm 0.000 0.000 13.181
Pr 0.000 4.420 0.000
Cd 1.723 2.898 -2.616
Cd 1.723 1.510 0.000
Cd 1.723 2.898 2.616
Cd 0.000 1.522 5.147
Cd 0.000 2.909 7.763
Cd 0.000 1.522 10.379
```

=====

The structure with the least stability is version ii.

=====

Version i
Compound: Pm3Pr2Cd
Source: Alexandria via LeMat-Bulk
Functional: GGA-PBE
Structure: optimized geometry Values from VASP.

Values from the calculation:
- Theoretical density: 7.045 g/cm³

Geometry as Quantum ESPRESSO input:
```
&SYSTEM
  ibrav = 0, nat = 6, ntyp = 3
/
ATOMIC_SPECIES
Pm 145.00 Pm.upf
Pr 140.91 Pr.upf
Cd 112.41 Cd.upf
CELL_PARAMETERS angstrom
4.184 0.000 0.000
0.000 4.184 0.000
0.000 0.000 11.163
ATOMIC_POSITIONS angstrom
Pm 0.000 0.000 0.000
Pm 0.000 0.000 3.889
Pm 0.000 0.000 7.274
Pr 2.092 2.092 1.822
Pr 2.092 2.092 9.341
Cd 2.092 2.092 5.581
```

=====

Version ii
Compound: Pm3Pr2Cd
Source: Alexandria via LeMat-Bulk
Functional: GGA-PBE
Structure: optimized geometry Values from VASP.

Values from the calculation:
- Theoretical density: 7.107 g/cm³

Geometry as Quantum ESPRESSO input:
```
&SYSTEM
  ibrav = 0, nat = 12, ntyp = 3
/
ATOMIC_SPECIES
Pm 145.00 Pm.upf
Pr 140.91 Pr.upf
Cd 112.41 Cd.upf
CELL_PARAMETERS angstrom
5.378 -3.117 0.000
5.378 3.117 0.000
0.000 0.000 11.556
ATOMIC_POSITIONS angstrom
Pm 0.000 0.000 0.000
Pm 0.000 0.000 5.778
Pm 3.674 0.000 0.000
Pm 3.674 0.000 5.778
Pm 7.083 0.000 0.000
Pm 7.083 0.000 5.778
Pr 1.812 1.050 2.889
Pr 8.945 -1.050 8.667
Pr 1.812 -1.050 8.667
Pr 8.945 1.050 2.889
Cd 5.378 1.061 2.889
Cd 5.378 -1.061 8.667
```

=====

The structure with the least stability is version i.

=====

Version i
Compound: PmPrScCd
Source: Alexandria via LeMat-Bulk
Functional: GGA-PBE
Structure: optimized geometry Values from VASP.

Values from the calculation:
- Theoretical density: 6.365 g/cm³

Geometry as Quantum ESPRESSO input:
```
&SYSTEM
  ibrav = 0, nat = 4, ntyp = 4
/
ATOMIC_SPECIES
Pm 145.00 Pm.upf
Pr 140.91 Pr.upf
Sc 44.96 Sc.upf
Cd 112.41 Cd.upf
CELL_PARAMETERS angstrom
0.000 3.867 3.867
3.867 0.000 3.867
3.867 3.867 0.000
ATOMIC_POSITIONS angstrom
Pm 0.000 0.000 0.000
Pr 3.867 3.867 3.867
Sc 5.800 5.800 5.800
Cd 1.933 1.933 1.933
```

=====

Version ii
Compound: PmPrScCd
Source: Alexandria via LeMat-Bulk
Functional: GGA-PBE
Structure: optimized geometry Values from VASP.

Values from the calculation:
- Theoretical density: 6.377 g/cm³

Geometry as Quantum ESPRESSO input:
```
&SYSTEM
  ibrav = 0, nat = 4, ntyp = 4
/
ATOMIC_SPECIES
Pm 145.00 Pm.upf
Pr 140.91 Pr.upf
Sc 44.96 Sc.upf
Cd 112.41 Cd.upf
CELL_PARAMETERS angstrom
3.585 0.000 0.000
0.000 3.585 0.000
0.000 0.000 8.984
ATOMIC_POSITIONS angstrom
Pm 0.000 0.000 0.000
Pr 1.792 1.792 2.691
Sc 1.792 1.792 6.668
Cd 0.000 0.000 4.982
```

=====

The structure with the least stability is version i.

=====

Version i
Compound: PmCd2Pt
Source: Alexandria via LeMat-Bulk
Functional: GGA-PBE
Structure: optimized geometry Values from VASP.

Values from the calculation:
- Theoretical density: 10.219 g/cm³

Geometry as Quantum ESPRESSO input:
```
&SYSTEM
  ibrav = 0, nat = 8, ntyp = 3
/
ATOMIC_SPECIES
Pm 145.00 Pm.upf
Cd 112.41 Cd.upf
Pt 195.08 Pt.upf
CELL_PARAMETERS angstrom
4.203 0.000 0.000
0.000 8.651 0.000
-2.101 0.000 5.049
ATOMIC_POSITIONS angstrom
Pm 0.002 2.163 0.675
Pm 2.099 6.488 4.374
Cd 0.000 0.404 3.615
Cd 0.000 3.922 3.615
Cd 2.102 4.729 1.434
Cd 2.102 8.248 1.434
Pt 0.002 6.488 2.288
Pt 2.100 2.163 2.761
```

=====

Version ii
Compound: PmCd2Pt
Source: Alexandria via LeMat-Bulk
Functional: GGA-PBE
Structure: optimized geometry Values from VASP.

Values from the calculation:
- Theoretical density: 10.879 g/cm³

Geometry as Quantum ESPRESSO input:
```
&SYSTEM
  ibrav = 0, nat = 4, ntyp = 3
/
ATOMIC_SPECIES
Pm 145.00 Pm.upf
Cd 112.41 Cd.upf
Pt 195.08 Pt.upf
CELL_PARAMETERS angstrom
0.000 3.507 3.507
3.507 0.000 3.507
3.507 3.507 0.000
ATOMIC_POSITIONS angstrom
Pm 0.000 0.000 0.000
Cd 1.753 1.753 1.753
Cd 5.260 5.260 5.260
Pt 3.507 3.507 3.507
```

=====

The structure with the least stability is version ii.

=====

Version i
Compound: PmCd2Pt
Source: Alexandria via LeMat-Bulk
Functional: GGA-PBE
Structure: optimized geometry Values from VASP.

Values from the calculation:
- Theoretical density: 10.305 g/cm³

Geometry as Quantum ESPRESSO input:
```
&SYSTEM
  ibrav = 0, nat = 4, ntyp = 3
/
ATOMIC_SPECIES
Pm 145.00 Pm.upf
Cd 112.41 Cd.upf
Pt 195.08 Pt.upf
CELL_PARAMETERS angstrom
4.200 0.000 0.000
0.000 4.200 0.000
0.000 0.000 5.161
ATOMIC_POSITIONS angstrom
Pm 0.000 0.000 0.000
Cd 0.000 2.100 2.580
Cd 2.100 0.000 2.580
Pt 2.100 2.100 0.000
```

=====

Version ii
Compound: PmCd2Pt
Source: Alexandria via LeMat-Bulk
Functional: GGA-PBE
Structure: optimized geometry Values from VASP.

Values from the calculation:
- Theoretical density: 10.006 g/cm³

Geometry as Quantum ESPRESSO input:
```
&SYSTEM
  ibrav = 0, nat = 4, ntyp = 3
/
ATOMIC_SPECIES
Pm 145.00 Pm.upf
Cd 112.41 Cd.upf
Pt 195.08 Pt.upf
CELL_PARAMETERS angstrom
1.590 0.918 10.707
-1.590 0.918 10.707
0.000 -1.836 10.707
ATOMIC_POSITIONS angstrom
Pm 0.000 0.000 0.000
Cd 0.000 0.000 3.182
Cd 0.000 0.000 28.940
Pt 0.000 0.000 16.061
```

=====

The structure with the least stability is version ii.

=====

Version i
Compound: Pm12CdPt6
Source: Alexandria via LeMat-Bulk
Functional: GGA-PBE
Structure: optimized geometry Values from VASP.

Values from the calculation:
- Theoretical density: 9.268 g/cm³

Geometry as Quantum ESPRESSO input:
```
&SYSTEM
  ibrav = 0, nat = 19, ntyp = 3
/
ATOMIC_SPECIES
Pm 145.00 Pm.upf
Cd 112.41 Cd.upf
Pt 195.08 Pt.upf
CELL_PARAMETERS angstrom
-5.135 5.135 5.135
5.135 -5.135 5.135
5.135 5.135 -5.135
ATOMIC_POSITIONS angstrom
Pm 5.135 -2.031 3.285
Pm 3.104 1.850 0.000
Pm 7.166 1.850 0.000
Pm 3.285 5.135 -2.031
Pm 1.850 0.000 3.104
Pm 0.000 3.104 1.850
Pm 5.135 2.031 3.285
Pm 3.285 5.135 2.031
Pm 1.850 0.000 7.166
Pm -2.031 3.285 5.135
Pm 2.031 3.285 5.135
Pm 0.000 7.166 1.850
Cd 0.000 0.000 0.000
Pt 5.135 0.000 1.392
Pt 5.135 3.743 0.000
Pt 1.392 5.135 0.000
Pt 3.743 0.000 5.135
Pt 0.000 1.392 5.135
Pt 0.000 5.135 3.743
```

=====

Version ii
Compound: Pm12CdPt6
Source: Alexandria via LeMat-Bulk
Functional: GGA-PBE
Structure: optimized geometry Values from VASP.

Values from the calculation:
- Theoretical density: 8.466 g/cm³

Geometry as Quantum ESPRESSO input:
```
&SYSTEM
  ibrav = 0, nat = 19, ntyp = 3
/
ATOMIC_SPECIES
Pm 145.00 Pm.upf
Cd 112.41 Cd.upf
Pt 195.08 Pt.upf
CELL_PARAMETERS angstrom
6.688 3.861 3.827
-6.688 3.861 3.827
0.000 -7.723 3.827
ATOMIC_POSITIONS angstrom
Pm -5.717 1.274 5.082
Pm -3.962 -4.314 6.398
Pm -1.651 -2.107 4.474
Pm 1.755 -5.588 5.082
Pm -0.999 2.483 4.474
Pm -2.650 0.376 7.006
Pm 2.650 -0.376 4.474
Pm 0.999 -2.483 7.006
Pm -1.755 5.588 6.398
Pm 1.651 2.107 7.006
Pm 3.962 4.314 5.082
Pm 5.717 -1.274 6.398
Cd 0.000 0.000 0.000
Pt -3.151 0.510 4.061
Pt 1.134 -2.983 4.061
Pt -2.017 -2.474 7.418
Pt 2.017 2.474 4.061
Pt -1.134 2.984 7.418
Pt 3.151 -0.510 7.418
```

=====

The structure with the least stability is version ii.

=====

Version i
Compound: Pm3Cd2Pt4
Source: Alexandria via LeMat-Bulk
Functional: GGA-PBE
Structure: optimized geometry Values from VASP.

Values from the calculation:
- Theoretical density: 11.536 g/cm³

Geometry as Quantum ESPRESSO input:
```
&SYSTEM
  ibrav = 0, nat = 9, ntyp = 3
/
ATOMIC_SPECIES
Pm 145.00 Pm.upf
Cd 112.41 Cd.upf
Pt 195.08 Pt.upf
CELL_PARAMETERS angstrom
6.154 -2.092 0.000
6.154 2.092 0.000
-4.500 0.000 8.052
ATOMIC_POSITIONS angstrom
Pm 0.000 0.000 0.000
Pm 3.155 0.000 2.388
Pm 4.653 0.000 5.663
Cd 1.076 0.000 5.343
Cd 6.731 0.000 2.709
Pt -1.074 0.000 3.333
Pt -0.562 0.000 7.584
Pt 8.369 0.000 0.468
Pt 8.882 0.000 4.719
```

=====

Version ii
Compound: Pm3Cd2Pt4
Source: Alexandria via LeMat-Bulk
Functional: GGA-PBE
Structure: optimized geometry Values from VASP.

Values from the calculation:
- Theoretical density: 11.574 g/cm³

Geometry as Quantum ESPRESSO input:
```
&SYSTEM
  ibrav = 0, nat = 9, ntyp = 3
/
ATOMIC_SPECIES
Pm 145.00 Pm.upf
Cd 112.41 Cd.upf
Pt 195.08 Pt.upf
CELL_PARAMETERS angstrom
5.054 -2.206 0.000
5.054 2.206 0.000
-0.341 0.000 9.266
ATOMIC_POSITIONS angstrom
Pm 0.000 0.000 0.000
Pm 3.556 0.000 5.726
Pm 6.211 0.000 3.540
Cd 3.214 0.000 2.046
Cd 6.553 0.000 7.220
Pt 0.590 0.000 5.753
Pt 2.682 0.000 8.495
Pt 7.085 0.000 0.771
Pt 9.176 0.000 3.513
```

=====

The structure with the least stability is version ii.

=====

Version i
Compound: Pm2CdPt
Source: Alexandria via LeMat-Bulk
Functional: GGA-PBE
Structure: optimized geometry Values from VASP.

Values from the calculation:
- Theoretical density: 9.720 g/cm³

Geometry as Quantum ESPRESSO input:
```
&SYSTEM
  ibrav = 0, nat = 8, ntyp = 3
/
ATOMIC_SPECIES
Pm 145.00 Pm.upf
Cd 112.41 Cd.upf
Pt 195.08 Pt.upf
CELL_PARAMETERS angstrom
7.335 0.000 0.000
0.000 3.693 0.000
0.000 0.000 7.536
ATOMIC_POSITIONS angstrom
Pm 0.048 0.000 1.691
Pm 3.619 0.000 1.691
Pm 3.716 0.000 5.845
Pm 7.287 0.000 5.845
Cd 1.834 1.847 3.875
Cd 5.501 1.847 3.661
Pt 1.834 1.847 7.289
Pt 5.501 1.847 0.247
```

=====

Version ii
Compound: Pm2CdPt
Source: Alexandria via LeMat-Bulk
Functional: GGA-PBE
Structure: optimized geometry Values from VASP.

Values from the calculation:
- Theoretical density: 9.332 g/cm³

Geometry as Quantum ESPRESSO input:
```
&SYSTEM
  ibrav = 0, nat = 4, ntyp = 3
/
ATOMIC_SPECIES
Pm 145.00 Pm.upf
Cd 112.41 Cd.upf
Pt 195.08 Pt.upf
CELL_PARAMETERS angstrom
1.681 0.970 10.867
-1.681 0.970 10.867
0.000 -1.941 10.867
ATOMIC_POSITIONS angstrom
Pm 0.000 0.000 2.711
Pm 0.000 0.000 29.891
Cd 0.000 0.000 16.301
Pt 0.000 0.000 0.000
```

=====

Version iii
Compound: Pm2CdPt
Source: Alexandria via LeMat-Bulk
Functional: GGA-PBE
Structure: optimized geometry Values from VASP.

Values from the calculation:
- Theoretical density: 8.344 g/cm³

Geometry as Quantum ESPRESSO input:
```
&SYSTEM
  ibrav = 0, nat = 4, ntyp = 3
/
ATOMIC_SPECIES
Pm 145.00 Pm.upf
Cd 112.41 Cd.upf
Pt 195.08 Pt.upf
CELL_PARAMETERS angstrom
2.111 1.219 7.704
-2.111 1.219 7.704
0.000 -2.437 7.704
ATOMIC_POSITIONS angstrom
Pm 0.000 0.000 0.000
Pm 0.000 0.000 4.603
Cd 0.000 0.000 10.029
Pt 0.000 0.000 13.827
```

=====

The structure with the least stability is version ii.

=====

Version i
Compound: Pm2CdPt
Source: Alexandria via LeMat-Bulk
Functional: GGA-PBE
Structure: optimized geometry Values from VASP.

Values from the calculation:
- Theoretical density: 9.846 g/cm³

Geometry as Quantum ESPRESSO input:
```
&SYSTEM
  ibrav = 0, nat = 4, ntyp = 3
/
ATOMIC_SPECIES
Pm 145.00 Pm.upf
Cd 112.41 Cd.upf
Pt 195.08 Pt.upf
CELL_PARAMETERS angstrom
0.000 3.693 3.693
3.693 0.000 3.693
3.693 3.693 0.000
ATOMIC_POSITIONS angstrom
Pm 1.847 1.847 1.847
Pm 5.540 5.540 5.540
Cd 0.000 0.000 0.000
Pt 3.693 3.693 3.693
```

=====

Version ii
Compound: Pm2CdPt
Source: Alexandria via LeMat-Bulk
Functional: GGA-PBE
Structure: optimized geometry Values from VASP.

Values from the calculation:
- Theoretical density: 9.724 g/cm³

Geometry as Quantum ESPRESSO input:
```
&SYSTEM
  ibrav = 0, nat = 4, ntyp = 3
/
ATOMIC_SPECIES
Pm 145.00 Pm.upf
Cd 112.41 Cd.upf
Pt 195.08 Pt.upf
CELL_PARAMETERS angstrom
3.681 0.000 0.000
0.000 3.681 0.000
0.000 0.000 7.528
ATOMIC_POSITIONS angstrom
Pm 0.000 0.000 1.686
Pm 0.000 0.000 5.842
Cd 1.841 1.841 3.764
Pt 1.841 1.841 0.000
```

=====

The structure with the least stability is version i.

=====

Version i
Compound: Pm3CdPt2
Source: Alexandria via LeMat-Bulk
Functional: GGA-PBE
Structure: optimized geometry Values from VASP.

Values from the calculation:
- Theoretical density: 9.889 g/cm³

Geometry as Quantum ESPRESSO input:
```
&SYSTEM
  ibrav = 0, nat = 6, ntyp = 3
/
ATOMIC_SPECIES
Pm 145.00 Pm.upf
Cd 112.41 Cd.upf
Pt 195.08 Pt.upf
CELL_PARAMETERS angstrom
2.005 -8.663 0.000
2.005 8.663 0.000
0.000 0.000 4.533
ATOMIC_POSITIONS angstrom
Pm 0.000 0.000 0.000
Pm 2.005 5.854 2.266
Pm 2.005 -5.854 2.266
Cd 2.005 0.000 2.266
Pt 2.005 2.213 0.000
Pt 2.005 -2.213 0.000
```

=====

Version ii
Compound: Pm3CdPt2
Source: Alexandria via LeMat-Bulk
Functional: GGA-PBE
Structure: optimized geometry Values from VASP.

Values from the calculation:
- Theoretical density: 10.465 g/cm³

Geometry as Quantum ESPRESSO input:
```
&SYSTEM
  ibrav = 0, nat = 6, ntyp = 3
/
ATOMIC_SPECIES
Pm 145.00 Pm.upf
Cd 112.41 Cd.upf
Pt 195.08 Pt.upf
CELL_PARAMETERS angstrom
3.625 0.000 0.000
0.000 3.625 0.000
0.000 0.000 11.324
ATOMIC_POSITIONS angstrom
Pm 0.000 0.000 0.000
Pm 0.000 0.000 3.496
Pm 0.000 0.000 7.829
Cd 1.812 1.812 5.662
Pt 1.812 1.812 1.856
Pt 1.812 1.812 9.469
```

=====

The structure with the least stability is version i.